No. 1
The following is a PBE calculation of an optimized crystal structure of RbCrSb2H, from Alexandria.

Results
mass density: 2.77 g/cm3
E_tot: -1.90 eV per atom

Geometry as extended XYZ:
```
5
Lattice="6.323 0.000 0.000 0.000 6.323 0.000 0.000 0.000 5.727" Properties=species:S:1:pos:R:3 pbc="T T T"
Rb 0.000 0.000 0.000
Cr 0.000 0.000 2.863
Sb 0.000 3.161 0.000
Sb 3.161 0.000 0.000
H 3.161 3.161 2.863
```



No. 2
The following is a PBE calculation of an optimized crystal structure of RbVCrH2, from Alexandria.

Results
mass density: 3.69 g/cm3
E_tot: -3.41 eV per atom

Geometry as extended XYZ:
```
5
Lattice="3.912 0.000 0.000 0.000 3.912 0.000 0.000 0.000 5.605" Properties=species:S:1:pos:R:3 pbc="T T T"
Rb 0.000 0.000 0.000
V 1.956 1.956 0.000
Cr 0.000 0.000 2.803
H 0.000 1.956 2.803
H 1.956 0.000 2.803
```



No. 3
The following is a PBE calculation of an optimized crystal structure of RbZnCrH6, from Alexandria.

Results
mass density: 3.12 g/cm3
E_tot: -3.58 eV per atom

Geometry as extended XYZ:
```
9
Lattice="4.781 0.000 0.000 -2.391 4.140 0.000 0.000 0.000 5.617" Properties=species:S:1:pos:R:3 pbc="T T T"
Rb 0.000 0.000 0.000
Zn 2.391 1.380 2.809
Cr 0.000 2.760 2.809
H -1.128 2.109 1.698
H -1.128 2.109 3.919
H 1.128 2.109 1.698
H 1.128 2.109 3.919
H 0.000 4.063 1.698
H 0.000 4.063 3.919
```



No. 4
The following is a PBE calculation of an optimized crystal structure of CrRe2H, from Alexandria.

Results
mass density: 15.44 g/cm3
excess energy over the best structure of this formula in the dataset: 0 meV per atom

Geometry as extended XYZ:
```
16
Lattice="5.829 0.000 0.000 0.000 5.829 0.000 0.000 0.000 5.385" Properties=species:S:1:pos:R:3 pbc="T T T"
Cr 0.000 0.000 0.000
Cr 0.000 2.914 1.346
Cr 2.914 0.000 4.039
Cr 2.914 2.914 2.693
Re 0.975 1.457 3.366
Re 1.457 3.889 4.712
Re 1.457 4.854 2.019
Re 1.940 1.457 0.673
Re 3.889 4.372 0.673
Re 4.372 0.975 2.019
Re 4.372 1.940 4.712
Re 4.854 4.372 3.366
H 0.000 0.000 2.693
H 0.000 2.914 4.039
H 2.914 0.000 1.346
H 2.914 2.914 0.000
```



No. 5
The following is a PBE calculation of an optimized crystal structure of CrReH3, from Alexandria.

Results
mass density: 9.59 g/cm3
excess energy over the best structure of this formula in the dataset: 0 meV per atom

Geometry as extended XYZ:
```
5
Lattice="3.470 0.000 0.000 0.000 3.470 0.000 0.000 0.000 3.470" Properties=species:S:1:pos:R:3 pbc="T T T"
Cr 0.000 0.000 0.000
Re 1.735 1.735 1.735
H 0.000 1.735 1.735
H 1.735 0.000 1.735
H 1.735 1.735 0.000
```



No. 6
The following is a PBE calculation of an optimized crystal structure of Cr3ReH, from Alexandria.

Results
mass density: 10.89 g/cm3
excess energy over the best structure of this formula in the dataset: 0 meV per atom

Geometry as extended XYZ:
```
5
Lattice="3.741 0.000 0.000 0.000 3.741 0.000 0.000 0.000 3.741" Properties=species:S:1:pos:R:3 pbc="T T T"
Cr 0.000 0.000 1.870
Cr 0.000 1.870 0.000
Cr 1.870 0.000 0.000
Re 1.870 1.870 1.870
H 0.000 0.000 0.000
```